This record from Alexandria describes an optimized crystal structure of K3Cu2PdF9. The functional is PBE.

Calculated values
Formation energy from raw total energies, eV/atom: -2.03
Space group: No. 164

Cell and atoms, written as extended XYZ:
```
15
Lattice="5.870 0.000 0.000 -2.935 5.083 0.000 0.000 0.000 7.199" Properties=species:S:1:pos:R:3 pbc="T T T"
F 1.467 2.542 0.000
F -1.467 2.542 0.000
F 2.935 3.345 4.841
F 0.000 1.738 2.358
F 1.430 4.214 2.358
F 2.935 0.000 0.000
F -1.430 4.214 2.358
F 4.364 0.869 4.841
F 1.505 0.869 4.841
K 0.000 3.389 4.847
K 0.000 0.000 0.000
K 2.935 1.694 2.351
Pd 0.000 0.000 3.599
Cu 0.000 3.389 1.154
Cu 2.935 1.694 6.044
```

---

This record from Alexandria describes an optimized crystal structure of K3CuPd2F9. The functional is PBE.

Calculated values
Formation energy from raw total energies, eV/atom: -1.94
Space group: No. 164

Cell and atoms, written as extended XYZ:
```
15
Lattice="-5.534 2.232 -0.216 0.986 -5.689 -1.523 -1.097 -2.049 6.946" Properties=species:S:1:pos:R:3 pbc="T T T"
F -4.697 -3.333 3.372
F 0.493 -2.845 -0.761
F -5.206 -0.399 4.157
F -3.294 -3.956 0.939
F -2.274 -1.728 -0.869
F -2.767 1.116 -0.108
F -0.948 -2.173 1.835
F -0.439 -5.107 1.050
F -2.352 -1.550 4.269
Cu -0.549 -1.025 3.473
K -3.733 -1.103 1.704
K 0.000 0.000 0.000
K -1.912 -4.403 3.503
Pd -1.377 -3.402 0.111
Pd -4.269 -2.104 5.096
```

---

This record from Alexandria describes an optimized crystal structure of K2CuPdF6. The functional is PBE.

Calculated values
Formation energy from raw total energies, eV/atom: -1.99
Space group: No. 225

Cell and atoms, written as extended XYZ:
```
20
Lattice="-3.536 -4.287 -2.052 3.408 -0.504 -4.819 4.684 -5.737 3.913" Properties=species:S:1:pos:R:3 pbc="T T T"
F 3.760 -1.853 -2.609
F 1.393 -6.367 -2.037
F 4.867 -4.413 -3.331
F 3.207 -4.167 -0.984
F 2.630 -6.613 0.731
F 3.053 -6.612 -4.383
F -0.884 -1.103 -0.559
F 0.222 -3.663 -1.280
F 6.036 -4.640 -0.708
F -0.946 -3.436 -3.904
F -2.606 -3.191 -1.558
F 0.775 -1.349 -2.905
Pd 2.557 -0.378 -3.615
Pd 1.426 -5.138 -0.274
Cu -0.916 -2.270 -2.231
Cu 4.898 -3.246 -1.658
K 4.301 -6.824 -1.706
K 4.365 -4.429 1.730
K 2.023 -1.560 -0.227
K 1.959 -3.956 -3.662
```

---

This record from Alexandria describes an optimized crystal structure of K2PmCu3F12. The functional is PBE.

Calculated values
Formation energy from raw total energies, eV/atom: -2.37
Space group: No. 166

Cell and atoms, written as extended XYZ:
```
18
Lattice="-5.224 4.469 0.086 -5.538 -2.282 -3.374 -5.098 -1.913 4.197" Properties=species:S:1:pos:R:3 pbc="T T T"
K -6.134 0.106 0.351
K -9.726 0.168 0.557
Pm 0.000 0.000 0.000
F -11.388 1.138 -1.185
F -4.679 -1.038 -1.469
F -11.329 -1.865 0.750
F -8.353 -2.625 0.614
F -7.428 -1.137 2.895
F -8.432 1.411 -1.986
F -4.472 -0.864 2.093
F -8.154 1.644 2.801
F -4.531 2.138 0.159
F -7.706 -1.371 -1.892
F -11.181 1.312 2.377
F -7.507 2.898 0.295
Cu -2.769 -1.141 -1.687
Cu -2.612 2.235 0.043
Cu -2.549 -0.956 2.099
```

---

This record from Alexandria describes an optimized crystal structure of K2PmCuF8. The functional is PBE.

Calculated values
Formation energy from raw total energies, eV/atom: -2.75
Space group: No. 2

Cell and atoms, written as extended XYZ:
```
12
Lattice="4.016 -0.184 0.116 -0.098 6.227 -0.548 0.098 -0.610 8.143" Properties=species:S:1:pos:R:3 pbc="T T T"
Pm 0.049 -0.305 4.071
F 3.907 0.554 1.754
F 0.108 4.879 5.957
F 1.958 4.610 4.057
F 2.058 0.823 3.654
F 1.458 0.499 7.797
F 2.557 4.935 -0.086
F 3.915 1.172 5.685
F 0.101 4.261 2.027
K 2.047 2.692 1.783
K 1.968 2.741 5.928
Cu 0.000 0.000 0.000
```

---

This record from Alexandria describes an optimized crystal structure of KCu2PtF8. The functional is PBE.

Calculated values
Formation energy from raw total energies, eV/atom: -1.55
Space group: No. 147

Cell and atoms, written as extended XYZ:
```
12
Lattice="5.256 0.000 0.000 -2.628 4.552 0.000 0.000 0.000 8.004" Properties=species:S:1:pos:R:3 pbc="T T T"
F -1.057 4.508 5.245
F 3.375 3.169 2.759
F 3.685 0.044 2.759
F 0.824 1.339 2.759
F -0.747 1.383 5.245
F 1.804 3.213 5.245
F 0.000 3.035 7.951
F 2.628 1.517 0.053
Cu 2.628 1.517 1.889
Cu 0.000 3.035 6.116
K 0.000 0.000 0.000
Pt 0.000 0.000 4.002
```

---

This record from Alexandria describes an optimized crystal structure of K2CuPtF6. The functional is PBE.

Calculated values
Formation energy from raw total energies, eV/atom: -1.88
Space group: No. 139

Cell and atoms, written as extended XYZ:
```
20
Lattice="5.975 0.000 0.000 0.000 5.981 0.000 0.000 0.000 8.454" Properties=species:S:1:pos:R:3 pbc="T T T"
F 4.523 3.034 4.227
F 2.987 1.495 2.095
F 0.000 4.486 6.322
F 1.535 0.044 0.000
F 2.987 1.495 6.359
F 0.000 4.486 2.132
F 1.453 5.937 4.227
F 4.440 2.948 0.000
F 4.522 5.937 4.227
F 4.440 0.044 0.000
F 1.535 2.948 0.000
F 1.452 3.034 4.227
K 2.987 4.486 2.114
K 0.000 1.495 6.341
K 0.000 1.495 2.113
K 2.987 4.486 6.340
Cu 0.000 4.485 4.227
Cu 2.987 1.496 0.000
Pt 2.987 1.495 4.227
Pt 0.000 4.487 0.000
```

---

This record from Alexandria describes an optimized crystal structure of KCuPtF6. The functional is PBE.

Calculated values
Formation energy from raw total energies, eV/atom: -1.69
Space group: No. 74

Cell and atoms, written as extended XYZ:
```
18
Lattice="7.049 0.000 0.000 0.000 8.043 0.000 -3.524 -4.022 5.429" Properties=species:S:1:pos:R:3 pbc="T T T"
Pt 3.524 0.000 0.000
Pt 3.524 4.022 0.000
F 1.494 -0.382 4.152
F 0.000 6.032 2.013
F -1.494 -0.382 4.152
F 0.000 2.011 4.734
F 5.019 -0.382 1.277
F 5.019 4.404 1.277
F 2.030 4.404 1.277
F -1.494 4.404 4.152
F 1.494 4.404 4.152
F 3.524 2.011 0.695
F 2.030 -0.382 1.277
F 3.524 -2.011 3.416
K 0.000 2.011 0.700
K 3.524 2.011 4.730
Cu -1.762 -2.011 2.715
Cu 1.762 -2.011 2.715
```

---

This record from Alexandria describes an optimized crystal structure of K2PuCu3F12. The functional is PBE.

Calculated values
Formation energy from raw total energies, eV/atom: -2.33
Space group: No. 166

Cell and atoms, written as extended XYZ:
```
18
Lattice="7.655 0.306 0.217 4.047 6.505 0.217 4.047 2.356 6.068" Properties=species:S:1:pos:R:3 pbc="T T T"
Cu 2.024 1.178 3.034
Cu 3.828 0.153 0.109
Cu 2.024 3.253 0.109
F 3.906 2.274 3.887
F 6.886 6.502 1.969
F 9.054 2.776 1.969
F 9.977 7.954 5.642
F 3.906 4.420 0.861
F 8.864 5.160 1.017
F 6.696 6.391 4.533
F 6.886 4.008 5.485
F 11.843 4.747 5.642
F 11.843 6.894 2.615
F 5.773 1.214 0.861
F 8.864 2.666 4.533
Pu 0.000 0.000 0.000
K 9.640 5.611 3.980
K 6.110 3.556 2.522
```

---

Number 1: spin magnetization 0.012 μB/f.u.. Number 2: spin magnetization 0.000 μB/f.u.. Number 3: spin magnetization 0.856 μB/f.u.. Number 4: spin magnetization 4.020 μB/f.u.. Number 5: spin magnetization 0.180 μB/f.u.. Number 6: spin magnetization 1.035 μB/f.u.. Number 7: spin magnetization 0.932 μB/f.u.. Number 8: spin magnetization 0.948 μB/f.u.. Number 9: spin magnetization 1.038 μB/f.u..